This record from Alexandria describes a geometry-optimized Al2FeTc structure. The functional is GGA-PBE.

Energy of formation = -288 meV/atom
Total DFT energy (no corrections) = -6.87 eV per atom

abc: 2.9126 2.9118 6.1330
angles: 90.00 90.00 90.00
Closest atoms and distances in Å follow each position.
Sites, in units of the cell vectors:
1 Al 0.0000 0.0000 0.0256  4 Fe 2.48, 4 Tc 2.66, 1 Al 2.75
2 Al 0.0000 0.0000 0.4744  4 Fe 2.48, 4 Tc 2.66, 1 Al 2.75
3 Tc 0.5000 0.5000 0.7500  8 Al 2.66, 4 Tc 2.91
4 Fe 0.5000 0.5000 0.2500  8 Al 2.48

This record from Alexandria describes a geometry-optimized KPIrAuO structure. The functional is GGA-PBE.

E_form (uncorrected) = -0.3709 eV/atom
Total DFT energy (no corrections) = -5.09 eV per atom

abc: 7.5050 2.9386 9.6700
angles: 90.00 114.16 90.00
Closest atoms and distances in Å follow each position.
Sites, in units of the cell vectors:
1 K 0.3885 0.0000 0.7353  3 O 2.74-2.92, 2 K 2.94
2 K 0.3885 0.5000 0.2353  3 O 2.74-2.92, 2 K 2.94
3 P 0.7934 0.0000 0.2341  2 Ir 2.42, 2 Au 2.55
4 P 0.7934 0.5000 0.7341  2 Ir 2.42, 2 Au 2.55
5 Ir 0.0531 0.0000 0.8926  2 O 2.02
6 Ir 0.0531 0.5000 0.3926  2 O 2.02
7 Au 0.8695 0.0000 0.5491  3 P 2.55-2.86, 2 Ir 2.84
8 Au 0.8695 0.5000 0.0491  3 P 2.55-2.86, 2 Ir 2.84
9 O 0.2434 0.0000 0.4054  2 Ir 2.02
10 O 0.2434 0.5000 0.9054  2 Ir 2.02

This record from Alexandria describes a geometry-optimized TmNbP structure. The functional is GGA-PBE.

Energy of formation = -825 meV/atom
Total DFT energy (no corrections) = -7.48 eV per atom

abc: 3.7168 5.3217 6.9752
angles: 101.44 90.00 110.44
Closest atoms and distances in Å follow each position.
Sites, in units of the cell vectors:
1 P 0.6838 0.3677 0.2227  3 Nb 2.56-2.60, 3 Tm 2.78-2.83
2 P 0.3162 0.6323 0.7773  3 Nb 2.56-2.60, 3 Tm 2.78-2.83
3 Tm 0.6092 0.2183 0.8154  4 P 2.78-2.88
4 Tm 0.3908 0.7817 0.1846  4 P 2.78-2.88
5 Nb 0.8658 0.7315 0.5498  3 P 2.56-2.60
6 Nb 0.1342 0.2685 0.4502  3 P 2.56-2.60

This record from Alexandria describes a geometry-optimized Ba3InTe structure. The functional is GGA-PBE.

E_form (uncorrected) = -0.5280 eV/atom
Total DFT energy (no corrections) = -2.86 eV per atom

abc: 6.5719 6.5719 6.5719
angles: 90.00 90.00 90.00
Closest atoms and distances in Å follow each position.
Sites, in units of the cell vectors:
1 Te 0.0000 0.0000 0.0000  6 Ba 3.29
2 Ba 0.0000 0.5000 0.0000  2 Te 3.29
3 Ba 0.0000 0.0000 0.5000  2 Te 3.29
4 Ba 0.5000 0.0000 0.0000  2 Te 3.29
5 In 0.5000 0.5000 0.5000  12 Ba 4.65

This record from Alexandria describes a geometry-optimized KLiZnSn structure. The functional is GGA-PBE.

Energy of formation = -75 meV/atom
Total DFT energy (no corrections) = -2.15 eV per atom

abc: 5.0920 5.0920 5.0920
angles: 60.00 60.00 60.00
Closest atoms and distances in Å follow each position.
Sites, in units of the cell vectors:
1 K 0.7500 0.7500 0.7500  4 Li 3.12, 4 Zn 3.12
2 Zn 0.0000 0.0000 0.0000  4 Sn 3.12, 4 K 3.12
3 Sn 0.2500 0.2500 0.2500  4 Li 3.12, 4 Zn 3.12
4 Li 0.5000 0.5000 0.5000  4 K 3.12, 4 Sn 3.12

This record from Alexandria describes a geometry-optimized SrIn2Pd structure. The functional is GGA-PBE.

Energy of formation = -232 meV/atom
Total DFT energy (no corrections) = -3.32 eV per atom

abc: 5.1965 5.1965 10.1269
angles: 75.13 75.13 90.00
Closest atoms and distances in Å follow each position.
Sites, in units of the cell vectors:
1 Sr 0.5000 0.5000 0.0000  4 In 3.43, 4 Pd 3.67
2 Sr 0.2500 0.7500 0.5000  4 In 3.43, 4 Pd 3.67
3 Pd 0.0000 0.0000 0.0000  4 In 2.74
4 Pd 0.7500 0.2500 0.5000  4 In 2.74
5 In 0.7832 0.1250 0.2500  2 Pd 2.74, 2 In 2.77
6 In 0.9668 0.6250 0.2500  2 Pd 2.74, 2 In 2.77
7 In 0.3750 0.2168 0.7500  2 Pd 2.74, 2 In 2.77
8 In 0.8750 0.0332 0.7500  2 Pd 2.74, 2 In 2.77

Q: Look up the total DFT energy (no corrections) of the fourth one.
A: -2.86 eV per atom